# Ca2WO

A geometry-optimized Ca2WO structure (GGA+U, the Alexandria database).

Cell: 6.954 6.954 6.626 Å, 58.35 58.35 90.00°
Each line ends with the local moment (μB).
Atoms (fractional coordinates):
Ca1 0.494 0.125 0.250  0.06
Ca2 0.256 0.625 0.250  0.07
Ca3 0.375 0.506 0.750  0.07
Ca4 0.875 0.744 0.750  0.07
O1 0.500 0.500 0.000  0.06
O2 0.250 0.750 0.500  0.06
W1 0.000 0.000 0.000  3.67
W2 0.750 0.250 0.500  3.67

Output
**Calculated total energy**: -4.64 eV/atom
**Total moment**: 11.35 μB/cell
**Space-group type**: I-42d (122)